Entry from the Alexandria database: a relaxed structure of MgVCuO4 (GGA+U).

The raw total energy is -0.240 hartree per atom.

Cell and atoms, written as POSCAR:
```
MgVCuO4
1.0
2.8948 -4.3729 0.0000
2.8948 4.3729 0.0000
0.0000 0.0000 6.3203
O Cu V Mg
8 2 2 2
Direct
0.7755 0.7312 0.7500 O
0.7312 0.7755 0.2500 O
0.2688 0.2245 0.7500 O
0.7591 0.2409 0.9715 O
0.2409 0.7591 0.4715 O
0.7591 0.2409 0.5285 O
0.2245 0.2688 0.2500 O
0.2409 0.7591 0.0285 O
0.6650 0.3350 0.2500 Cu
0.3350 0.6650 0.7500 Cu
0.6426 0.3574 0.7500 V
0.3574 0.6426 0.2500 V
0.0000 0.0000 0.5000 Mg
0.0000 0.0000 0.0000 Mg
```